[1]
Material: CeHo2Al2Ga2
Method: DFT, PBE
State: optimized geometry

abc: 4.439 4.439 9.869
angles: 77.00 77.00 60.00
Site moments in Bohr magnetons follow the coordinates.
Positions (direct):
Ce 0.000 0.000 0.000  0.35
Ho 0.129 0.129 0.614  0.01
Ho 0.871 0.871 0.386  0.01
Al 0.604 0.604 0.188  0.00
Al 0.396 0.396 0.812  0.00
Ga 0.744 0.744 0.768  0.00
Ga 0.256 0.256 0.232  0.00

Crystal system: trigonal
DOS(E_F) (states/eV/atom): 1.184
Final energy (eV/atom): -4.452

=====

[2]
Material: Ce2Ho2AlGa4
Method: DFT, PBE
State: optimized geometry

abc: 6.640 6.640 6.640
angles: 97.17 115.95 115.95
Site moments in Bohr magnetons follow the coordinates.
Positions (direct):
Ce 0.000 0.684 0.684  0.51
Ce 0.000 0.316 0.316  0.51
Ho 0.500 0.750 0.250  0.05
Ho 0.500 0.250 0.750  0.05
Al 0.000 0.000 0.000  0.00
Ga 0.000 0.754 0.246  0.00
Ga 0.508 0.754 0.754  0.00
Ga 0.000 0.246 0.754  0.00
Ga 0.492 0.246 0.246  0.00

Crystal system: tetragonal
DOS(E_F) (states/eV/atom): 1.542
Final energy (eV/atom): -4.285

=====

[3]
Material: CeHoAl2Ga2
Method: DFT, PBE
State: optimized geometry

abc: 4.461 4.461 7.344
angles: 90.00 90.00 120.00
Site moments in Bohr magnetons follow the coordinates.
Positions (direct):
Ce 0.000 0.000 0.000  0.44
Ho 0.000 0.000 0.500  0.02
Al 0.333 0.667 0.742  0.00
Al 0.667 0.333 0.258  0.00
Ga 0.333 0.667 0.262  0.00
Ga 0.667 0.333 0.738  0.00

Crystal system: trigonal
DOS(E_F) (states/eV/atom): 1.047
Final energy (eV/atom): -4.538

=====

[4]
Material: LaCe2Al2Ga2
Method: DFT, PBE
State: optimized geometry

abc: 4.399 4.399 9.944
angles: 77.22 77.22 60.00
Site moments in Bohr magnetons follow the coordinates.
Positions (direct):
La 0.000 0.000 0.000  0.04
Ce 0.143 0.143 0.572  0.88
Ce 0.857 0.857 0.428  0.88
Al 0.591 0.591 0.227  0.00
Al 0.409 0.409 0.773  0.00
Ga 0.740 0.740 0.780  0.00
Ga 0.260 0.260 0.220  0.00

Crystal system: trigonal
DOS(E_F) (states/eV/atom): 1.579
Final energy (eV/atom): -4.752

=====

[5]
Material: LiCe2AlGa6
Method: DFT, PBE
State: optimized geometry

abc: 9.251 5.386 6.795
angles: 63.77 46.17 85.76
Site moments in Bohr magnetons follow the coordinates.
Positions (direct):
Li 0.500 0.500 0.000  0.00
Ce 0.250 0.757 0.508  0.62
Ce 0.750 0.243 0.492  0.62
Al 0.000 0.000 0.000  0.00
Ga 0.309 0.808 0.892  0.00
Ga 0.735 0.736 0.025  0.00
Ga 0.089 0.293 0.484  0.01
Ga 0.691 0.192 0.108  0.00
Ga 0.265 0.264 0.975  0.00
Ga 0.911 0.707 0.516  0.01

Crystal system: triclinic
DOS(E_F) (states/eV/atom): 1.199
Final energy (eV/atom): -3.905

=====

[6]
Material: LiCe2Al3Ga4
Method: DFT, PBE
State: optimized geometry

abc: 4.298 4.298 10.764
angles: 90.00 90.00 90.00
Site moments in Bohr magnetons follow the coordinates.
Positions (direct):
Li 0.500 0.500 0.500  0.00
Ce 0.500 0.000 0.243  0.81
Ce 0.000 0.500 0.757  0.81
Al 0.000 0.000 0.500  0.00
Al 0.500 0.000 0.864  0.00
Al 0.000 0.500 0.136  0.00
Ga 0.500 0.500 0.000  -0.01
Ga 0.000 0.000 0.000  -0.01
Ga 0.500 0.000 0.635  0.00
Ga 0.000 0.500 0.365  0.00

Crystal system: tetragonal
DOS(E_F) (states/eV/atom): 1.395
Final energy (eV/atom): -4.119

=====

[7]
Material: LiCeAl2Ga4
Method: DFT, PBE
State: optimized geometry

abc: 4.567 4.567 8.558
angles: 74.52 74.52 60.00
Positions (direct):
Li 0.500 0.500 0.500
Ce 0.000 0.000 0.000
Al 0.755 0.755 0.736
Al 0.245 0.245 0.264
Ga 0.392 0.392 0.825
Ga 0.868 0.868 0.395
Ga 0.132 0.132 0.605
Ga 0.608 0.608 0.175

Crystal system: trigonal
DOS(E_F) (states/eV/atom): 0.683
Final energy (eV/atom): -3.712

=====

[8]
Material: Ce2MgAl3Ga4
Method: DFT, PBE
State: optimized geometry

abc: 4.317 4.317 10.998
angles: 90.00 90.00 90.00
Site moments in Bohr magnetons follow the coordinates.
Positions (direct):
Ce 0.500 0.000 0.239  0.85
Ce 0.000 0.500 0.761  0.85
Mg 0.500 0.500 0.500  0.00
Al 0.000 0.000 0.500  0.00
Al 0.500 0.000 0.868  0.01
Al 0.000 0.500 0.132  0.01
Ga 0.500 0.500 0.000  -0.01
Ga 0.000 0.000 0.000  0.00
Ga 0.500 0.000 0.644  0.00
Ga 0.000 0.500 0.356  0.00

Crystal system: tetragonal
DOS(E_F) (states/eV/atom): 1.469
Final energy (eV/atom): -4.062

=====

[9]
Material: Ce2MnAlGa6
Method: DFT, PBE
State: optimized geometry

abc: 6.280 6.280 12.241
angles: 75.14 75.14 60.00
Site moments in Bohr magnetons follow the coordinates.
Positions (direct):
Ce 0.865 0.865 0.404  0.43
Ce 0.135 0.135 0.596  0.43
Ce 0.692 0.692 0.925  0.92
Ce 0.308 0.308 0.075  0.92
Mn 0.575 0.575 0.274  2.00
Mn 0.425 0.425 0.726  2.00
Al 0.000 0.000 0.000  -0.02
Al 0.500 0.500 0.500  -0.02
Ga 0.943 0.349 0.360  -0.02
Ga 0.349 0.943 0.360  -0.02
Ga 0.349 0.349 0.360  -0.02
Ga 0.057 0.651 0.640  -0.02
Ga 0.651 0.057 0.640  -0.02
Ga 0.651 0.651 0.640  -0.02
Ga 0.755 0.205 0.834  -0.01
Ga 0.205 0.755 0.834  -0.01
Ga 0.205 0.205 0.834  -0.01
Ga 0.245 0.795 0.166  -0.01
Ga 0.795 0.245 0.166  -0.01
Ga 0.795 0.795 0.166  -0.01

Crystal system: trigonal
DOS(E_F) (states/eV/atom): 1.224
Final energy (eV/atom): -4.600

=====

[10]
Material: Ce2NdAl2Ga2
Method: DFT, PBE
State: optimized geometry

abc: 4.388 4.388 9.748
angles: 76.99 76.99 60.00
Site moments in Bohr magnetons follow the coordinates.
Positions (direct):
Ce 0.142 0.142 0.574  0.86
Ce 0.858 0.858 0.426  0.86
Nd 0.000 0.000 0.000  0.03
Al 0.593 0.593 0.222  0.00
Al 0.407 0.407 0.778  0.00
Ga 0.738 0.738 0.787  0.00
Ga 0.262 0.262 0.213  0.00

Crystal system: trigonal
DOS(E_F) (states/eV/atom): 1.543
Final energy (eV/atom): -4.724

=====

[11]
Material: CeNdAlGa
Method: DFT, PBE
State: optimized geometry

abc: 5.220 5.220 5.220
angles: 60.00 60.00 60.00
Site moments in Bohr magnetons follow the coordinates.
Positions (direct):
Nd 0.500 0.500 0.500  0.01
Ga 0.250 0.250 0.250  0.01
Ce 0.000 0.000 0.000  0.68
Al 0.750 0.750 0.750  0.01

Crystal system: cubic
DOS(E_F) (states/eV/atom): 1.598
Final energy (eV/atom): -4.753

=====

[12]
Material: CeNdAl2Ga2
Method: DFT, PBE
State: optimized geometry

abc: 4.329 4.329 8.464
angles: 90.00 90.00 120.00
Site moments in Bohr magnetons follow the coordinates.
Positions (direct):
Ce 0.000 0.000 0.000  0.54
Nd 0.000 0.000 0.500  0.01
Al 0.333 0.667 0.755  0.00
Al 0.667 0.333 0.245  0.00
Ga 0.333 0.667 0.243  -0.01
Ga 0.667 0.333 0.757  -0.01

Crystal system: trigonal
DOS(E_F) (states/eV/atom): 1.119
Final energy (eV/atom): -4.588